{"formula": "Pm7Pr2Sm", "functional": "PBE", "state": "optimized geometry", "lattice": [[3.501, 0.000, 0.000], [0.000, 14.356, -4.855], [0.000, -10.810, 10.622]], "species": ["Pm", "Pm", "Pm", "Pm", "Pm", "Pm", "Pm", "Pr", "Pr", "Sm"], "frac_coords": [[0.000, 0.812, 0.188], [0.000, 0.188, 0.812], [0.500, 0.147, 0.344], [0.500, 0.853, 0.656], [0.500, 0.344, 0.147], [0.500, 0.656, 0.853], [0.500, 0.500, 0.500], [0.500, 0.704, 0.296], [0.500, 0.296, 0.704], [0.000, 0.000, 0.000]], "sg": "Cmmm, No. 65"}



{"formula": "PmPr7Sm12", "functional": "PBE", "state": "optimized geometry", "lattice": [[8.631, 1.266, 1.900], [-1.184, 8.643, 1.900], [-1.184, -1.576, 8.708]], "species": ["Pm", "Pr", "Pr", "Pr", "Pr", "Pr", "Pr", "Pr", "Sm", "Sm", "Sm", "Sm", "Sm", "Sm", "Sm", "Sm", "Sm", "Sm", "Sm", "Sm"], "frac_coords": [[0.000, 0.000, 0.000], [0.847, 0.603, 0.923], [0.397, 0.077, 0.153], [0.077, 0.153, 0.397], [0.500, 0.500, 0.500], [0.923, 0.847, 0.603], [0.603, 0.923, 0.847], [0.153, 0.397, 0.077], [0.853, 0.254, 0.724], [0.746, 0.276, 0.147], [0.618, 0.134, 0.493], [0.866, 0.507, 0.382], [0.276, 0.147, 0.746], [0.507, 0.382, 0.866], [0.493, 0.618, 0.134], [0.724, 0.853, 0.254], [0.134, 0.493, 0.618], [0.382, 0.866, 0.507], [0.254, 0.724, 0.853], [0.147, 0.746, 0.276]], "sg": "R-3, No. 148"}



{"formula": "Pm4Pr2Sm5", "functional": "PBE", "state": "optimized geometry", "lattice": [[-1.657, 1.362, 2.774], [-7.502, 0.726, -4.840], [-1.316, -11.927, 2.854]], "species": ["Pm", "Pm", "Pm", "Pm", "Pr", "Pr", "Sm", "Sm", "Sm", "Sm", "Sm"], "frac_coords": [[0.679, 0.471, 0.357], [0.046, 0.360, 0.092], [0.321, 0.529, 0.643], [0.954, 0.640, 0.908], [0.910, 0.265, 0.819], [0.090, 0.735, 0.181], [0.141, 0.117, 0.283], [0.859, 0.883, 0.717], [0.232, 0.826, 0.464], [0.500, 0.000, 0.000], [0.768, 0.174, 0.536]], "sg": "C2/m, No. 12"}



no.,energy relative to the elements (eV per atom),uncorrected energy (eV per atom),total moment (μB/cell)
1,0.15,-4.60,0.0
2,0.22,-4.52,0.0
3,0.13,-4.61,0.0